Computed, not measured: an optimized crystal structure of TlV2RuO8 at the PBE with a Hubbard U level of DFT.

Structure (POSCAR):
```
TlV2RuO8
1.0
-4.1916 3.1514 -0.9904
-2.9491 -1.3919 -4.2245
-4.6474 -4.3128 4.2732
Tl V Ru O
1 2 1 8
Cartesian
-2.3237 -2.1564 2.1366
-5.4822 0.2333 -2.4339
-6.3059 -2.7867 1.4922
0.0000 0.0000 0.0000
-7.5372 -1.5315 1.8723
-5.8793 1.1509 -3.8755
-6.8054 -0.5497 -1.8422
-4.9828 -2.0036 0.9004
-5.9088 -3.7042 2.9337
-6.8931 -3.8868 0.1956
-4.8951 1.3335 -1.1374
-4.2509 -1.0219 -2.8140
```

Output
**N(E_F)**: 0.160 states/eV/atom
**Total energy**: -6.9312 eV per atom
**SG**: No. 12